1.
# SiAs2PSe, PBEsol geometry, DFT meta-GGA SCAN
# spin magnetization = 0.000 μB per formula unit
# ΔE_f (raw) = 1.304 eV/atom
# N(E_F) = 4.33 states/eV/f.u.
data_SiAs2PSe
_chemical_formula_sum 'Si1 As2 P1 Se1'
_space_group_name_H-M_alt 'P 4/m m m'
_space_group_IT_number 123
_space_group_name_Hall '-P 4 2'
_cell_length_a 4.874
_cell_length_b 4.874
_cell_length_c 4.732
_cell_angle_alpha 90.00
_cell_angle_beta 90.00
_cell_angle_gamma 90.00
loop_
_atom_site_label
_atom_site_type_symbol
_atom_site_fract_x
_atom_site_fract_y
_atom_site_fract_z
Si1 Si 0.000 0.000 0.000
As1 As 0.000 0.500 0.500
P1 P 0.500 0.500 0.000
Se1 Se 0.500 0.500 0.500

***

2.
# SrMgCl2, PBEsol geometry, DFT meta-GGA SCAN
# energy relative to the lowest polymorph listed for this composition = 306 meV/atom
# spin magnetization = 0.000 μB per formula unit
# ΔE_f (raw) = -1.350 eV/atom
# N(E_F) = 0.83 states/eV/f.u.
data_SrMgCl2
_chemical_formula_sum 'Sr2 Mg2 Cl4'
_space_group_name_H-M_alt 'I -4 m 2'
_space_group_IT_number 119
_space_group_name_Hall 'I -4 -2'
_cell_length_a 4.232
_cell_length_b 4.232
_cell_length_c 11.542
_cell_angle_alpha 90.00
_cell_angle_beta 90.00
_cell_angle_gamma 90.00
loop_
_atom_site_label
_atom_site_type_symbol
_atom_site_fract_x
_atom_site_fract_y
_atom_site_fract_z
Sr1 Sr 0.000 0.000 0.000
Mg1 Mg 0.000 0.500 0.750
Cl1 Cl 0.000 0.000 0.500
Cl2 Cl 0.000 0.500 0.250

***

3.
# YAg2Sb, PBEsol geometry, DFT meta-GGA SCAN
# spin magnetization = 0.000 μB per formula unit
# ΔE_f (raw) = -0.400 eV/atom
# N(E_F) = 0.86 states/eV/f.u.
data_YAg2Sb
_chemical_formula_sum 'Y3 Ag6 Sb3'
_space_group_name_H-M_alt 'R 3 m'
_space_group_IT_number 160
_space_group_name_Hall 'R 3 -2"'
_cell_length_a 4.6335
_cell_length_b 4.6335
_cell_length_c 14.1257
_cell_angle_alpha 90.00
_cell_angle_beta 90.00
_cell_angle_gamma 120.00
loop_
_atom_site_label
_atom_site_type_symbol
_atom_site_fract_x
_atom_site_fract_y
_atom_site_fract_z
Y1 Y 0.0000 0.0000 0.0000
Ag1 Ag 0.0000 0.0000 0.5010
Ag2 Ag 0.0000 0.0000 0.7673
Sb1 Sb 0.0000 0.0000 0.2224

***

4.
# KTl2I2, PBEsol geometry, DFT meta-GGA SCAN
# spin magnetization = 0.000 μB per formula unit
# ΔE_f (raw) = -0.624 eV/atom
# N(E_F) = 2.70 states/eV/f.u.
data_KTl2I2
_chemical_formula_sum 'K2 Tl4 I4'
_space_group_name_H-M_alt 'I 4/m m m'
_space_group_IT_number 139
_space_group_name_Hall '-I 4 2'
_cell_length_a 6.375
_cell_length_b 6.375
_cell_length_c 10.241
_cell_angle_alpha 90.00
_cell_angle_beta 90.00
_cell_angle_gamma 90.00
loop_
_atom_site_label
_atom_site_type_symbol
_atom_site_fract_x
_atom_site_fract_y
_atom_site_fract_z
K1 K 0.000 0.000 0.000
Tl1 Tl 0.000 0.000 0.348
I1 I 0.000 0.500 0.250

***

5.
# Al2TcBr, PBEsol geometry, DFT meta-GGA SCAN
# energy relative to the lowest polymorph listed for this composition = 685 meV/atom
# spin magnetization = 0.857 μB per formula unit
# ΔE_f (raw) = 0.568 eV/atom
# N(E_F) = 2.50 states/eV/f.u.
data_Al2TcBr
_chemical_formula_sum 'Al2 Tc1 Br1'
_space_group_name_H-M_alt 'P m m m'
_space_group_IT_number 47
_cell_length_a 2.949
_cell_length_b 4.615
_cell_length_c 4.755
_cell_angle_alpha 90.00
_cell_angle_beta 90.00
_cell_angle_gamma 90.00
loop_
_space_group_symop_operation_xyz
'x,y,z'
'-x,-y,-z'
'-x,-y,z'
'x,y,-z'
'x,-y,-z'
'-x,y,z'
'-x,y,-z'
'x,-y,z'
loop_
_atom_site_label
_atom_site_type_symbol
_atom_site_fract_x
_atom_site_fract_y
_atom_site_fract_z
Al1 Al 0.000 0.000 0.000
Al2 Al 0.500 0.500 0.000
Tc1 Tc 0.000 0.500 0.500
Br1 Br 0.500 0.000 0.500

***

6.
# CdNiW2, PBEsol geometry, DFT meta-GGA SCAN
# ΔE_f = 428 meV/atom
# spin magnetization = 0.001 μB per formula unit
# N(E_F) = 3.66 states/eV/f.u.
data_CdNiW2
_chemical_formula_sum 'Cd3 Ni3 W6'
_space_group_name_H-M_alt 'R 3 m'
_space_group_IT_number 160
_space_group_name_Hall 'R 3 -2"'
_cell_length_a 2.7717
_cell_length_b 2.7717
_cell_length_c 27.6473
_cell_angle_alpha 90.00
_cell_angle_beta 90.00
_cell_angle_gamma 120.00
loop_
_atom_site_label
_atom_site_type_symbol
_atom_site_fract_x
_atom_site_fract_y
_atom_site_fract_z
Cd1 Cd 0.0000 0.0000 0.0000
Ni1 Ni 0.0000 0.0000 0.7472
W1 W 0.0000 0.0000 0.2399
W2 W 0.0000 0.0000 0.4862

***

7.
# LiMg2Ta, PBEsol geometry, DFT meta-GGA SCAN
# ΔE_f = 640 meV/atom
# energy relative to the lowest polymorph listed for this composition = 312 meV/atom
# spin magnetization = 0.001 μB per formula unit
# N(E_F) = 2.47 states/eV/f.u.
data_LiMg2Ta
_chemical_formula_sum 'Li2 Mg4 Ta2'
_space_group_name_H-M_alt 'I -4 m 2'
_space_group_IT_number 119
_space_group_name_Hall 'I -4 -2'
_cell_length_a 4.672
_cell_length_b 4.672
_cell_length_c 6.624
_cell_angle_alpha 90.00
_cell_angle_beta 90.00
_cell_angle_gamma 90.00
loop_
_atom_site_label
_atom_site_type_symbol
_atom_site_fract_x
_atom_site_fract_y
_atom_site_fract_z
Li1 Li 0.000 0.000 0.000
Mg1 Mg 0.000 0.000 0.500
Mg2 Mg 0.000 0.500 0.250
Ta1 Ta 0.000 0.500 0.750

***

8.
# YZr2Se, PBEsol geometry, DFT meta-GGA SCAN
# spin magnetization = 1.357 μB per formula unit
# ΔE_f (raw) = -0.319 eV/atom
# N(E_F) = 4.53 states/eV/f.u.
data_YZr2Se
_chemical_formula_sum 'Y2 Zr4 Se2'
_space_group_name_H-M_alt 'I 4/m m m'
_space_group_IT_number 139
_space_group_name_Hall '-I 4 2'
_cell_length_a 4.126
_cell_length_b 4.126
_cell_length_c 10.303
_cell_angle_alpha 90.00
_cell_angle_beta 90.00
_cell_angle_gamma 90.00
loop_
_atom_site_label
_atom_site_type_symbol
_atom_site_fract_x
_atom_site_fract_y
_atom_site_fract_z
Y1 Y 0.000 0.000 0.000
Zr1 Zr 0.000 0.500 0.250
Se1 Se 0.000 0.000 0.500

***

9.
# Ta4Al5, PBEsol geometry, DFT meta-GGA SCAN
# ΔE_f = -259 meV/atom
# spin magnetization = 0.000 μB per formula unit
# N(E_F) = 3.07 states/eV/f.u.
data_Ta4Al5
_chemical_formula_sum 'Ta8 Al10'
_space_group_name_H-M_alt 'I 4/m m m'
_space_group_IT_number 139
_space_group_name_Hall '-I 4 2'
_cell_length_a 8.807
_cell_length_b 8.807
_cell_length_c 3.751
_cell_angle_alpha 90.00
_cell_angle_beta 90.00
_cell_angle_gamma 90.00
loop_
_atom_site_label
_atom_site_type_symbol
_atom_site_fract_x
_atom_site_fract_y
_atom_site_fract_z
Ta1 Ta 0.000 0.321 0.000
Al1 Al 0.000 0.000 0.000
Al2 Al 0.170 0.170 0.500

***

10.
# BaIn2As, PBEsol geometry, DFT meta-GGA SCAN
# ΔE_f = -630 meV/atom
# spin magnetization = 0.000 μB per formula unit
# N(E_F) = 0.98 states/eV/f.u.
data_BaIn2As
_chemical_formula_sum 'Ba1 In2 As1'
_space_group_name_H-M_alt 'P 4 m m'
_space_group_IT_number 99
_cell_length_a 4.373
_cell_length_b 4.373
_cell_length_c 6.153
_cell_angle_alpha 90.00
_cell_angle_beta 90.00
_cell_angle_gamma 90.00
loop_
_space_group_symop_operation_xyz
'x,y,z'
'-y,x,z'
'-x,-y,z'
'y,-x,z'
'-x,y,z'
'y,x,z'
'x,-y,z'
'-y,-x,z'
loop_
_atom_site_label
_atom_site_type_symbol
_atom_site_fract_x
_atom_site_fract_y
_atom_site_fract_z
Ba1 Ba 0.000 0.000 0.000
In1 In 0.000 0.500 0.472
As1 As 0.500 0.500 0.797

***

11.
# Cd2CoTc, PBEsol geometry, DFT meta-GGA SCAN
# ΔE_f = 468 meV/atom
# energy relative to the lowest polymorph listed for this composition = 150 meV/atom
# spin magnetization = 3.826 μB per formula unit
# N(E_F) = 2.03 states/eV/f.u.
data_Cd2CoTc
_chemical_formula_sum 'Cd8 Co4 Tc4'
_space_group_name_H-M_alt 'F -4 3 m'
_space_group_IT_number 216
_space_group_name_Hall 'F -4 2 3'
_cell_length_a 6.292
_cell_length_b 6.292
_cell_length_c 6.292
_cell_angle_alpha 90.00
_cell_angle_beta 90.00
_cell_angle_gamma 90.00
loop_
_atom_site_label
_atom_site_type_symbol
_atom_site_fract_x
_atom_site_fract_y
_atom_site_fract_z
Cd1 Cd 0.000 0.000 0.000
Cd2 Cd 0.250 0.250 0.250
Co1 Co 0.250 0.250 0.750
Tc1 Tc 0.000 0.000 0.500

***

12.
# SrCrCo2, PBEsol geometry, DFT meta-GGA SCAN
# ΔE_f = 715 meV/atom
# energy relative to the lowest polymorph listed for this composition = 0 meV/atom
# spin magnetization = 5.655 μB per formula unit
# N(E_F) = 3.42 states/eV/f.u.
data_SrCrCo2
_chemical_formula_sum 'Sr1 Cr1 Co2'
_space_group_name_H-M_alt 'P 4 m m'
_space_group_IT_number 99
_cell_length_a 3.003
_cell_length_b 3.003
_cell_length_c 6.997
_cell_angle_alpha 90.00
_cell_angle_beta 90.00
_cell_angle_gamma 90.00
loop_
_space_group_symop_operation_xyz
'x,y,z'
'-y,x,z'
'-x,-y,z'
'y,-x,z'
'-x,y,z'
'y,x,z'
'x,-y,z'
'-y,-x,z'
loop_
_atom_site_label
_atom_site_type_symbol
_atom_site_fract_x
_atom_site_fract_y
_atom_site_fract_z
Sr1 Sr 0.000 0.000 0.000
Cr1 Cr 0.500 0.500 0.643
Co1 Co 0.000 0.000 0.502
Co2 Co 0.500 0.500 0.325

***

13.
# ZnCd4, PBEsol geometry, DFT meta-GGA SCAN
# ΔE_f = 75 meV/atom
# spin magnetization = 0.000 μB per formula unit
# N(E_F) = 1.71 states/eV/f.u.
data_ZnCd4
_chemical_formula_sum 'Zn2 Cd8'
_space_group_name_H-M_alt 'I 4/m'
_space_group_IT_number 87
_space_group_name_Hall '-I 4'
_cell_length_a 6.792
_cell_length_b 6.792
_cell_length_c 4.248
_cell_angle_alpha 90.00
_cell_angle_beta 90.00
_cell_angle_gamma 90.00
loop_
_atom_site_label
_atom_site_type_symbol
_atom_site_fract_x
_atom_site_fract_y
_atom_site_fract_z
Zn1 Zn 0.000 0.000 0.000
Cd1 Cd 0.101 0.295 0.500

***

14.
# SrTlTcCl2, PBEsol geometry, DFT meta-GGA SCAN
# spin magnetization = 4.036 μB per formula unit
# ΔE_f (raw) = -0.217 eV/atom
# N(E_F) = 1.82 states/eV/f.u.
data_SrTlTcCl2
_chemical_formula_sum 'Sr1 Tl1 Tc1 Cl2'
_space_group_name_H-M_alt 'P 4/m m m'
_space_group_IT_number 123
_space_group_name_Hall '-P 4 2'
_cell_length_a 5.370
_cell_length_b 5.370
_cell_length_c 6.422
_cell_angle_alpha 90.00
_cell_angle_beta 90.00
_cell_angle_gamma 90.00
loop_
_atom_site_label
_atom_site_type_symbol
_atom_site_fract_x
_atom_site_fract_y
_atom_site_fract_z
Sr1 Sr 0.000 0.000 0.000
Tl1 Tl 0.500 0.500 0.500
Tc1 Tc 0.000 0.000 0.500
Cl1 Cl 0.000 0.500 0.000

***

15.
# Zr2CuHg, PBEsol geometry, DFT meta-GGA SCAN
# ΔE_f = -157 meV/atom
# spin magnetization = 0.000 μB per formula unit
# N(E_F) = 3.27 states/eV/f.u.
data_Zr2CuHg
_chemical_formula_sum 'Zr4 Cu2 Hg2'
_space_group_name_H-M_alt 'C 1 m 1'
_space_group_IT_number 8
_cell_length_a 10.869
_cell_length_b 3.142
_cell_length_c 4.935
_cell_angle_alpha 90.00
_cell_angle_beta 116.61
_cell_angle_gamma 90.00
loop_
_space_group_symop_operation_xyz
'x,y,z'
'x,-y,z'
'x+1/2,y+1/2,z'
'x+1/2,-y+1/2,z'
loop_
_atom_site_label
_atom_site_type_symbol
_atom_site_fract_x
_atom_site_fract_y
_atom_site_fract_z
Zr1 Zr 0.000 0.000 0.000
Zr2 Zr 0.230 0.000 0.776
Cu1 Cu 0.498 0.000 0.485
Hg1 Hg 0.279 0.500 0.325

***

16.
# KBeBr, PBEsol geometry, DFT meta-GGA SCAN
# spin magnetization = 0.000 μB per formula unit
# ΔE_f (raw) = 0.036 eV/atom
data_KBeBr
_chemical_formula_sum 'K4 Be4 Br4'
_space_group_name_H-M_alt 'F -4 3 m'
_space_group_IT_number 216
_space_group_name_Hall 'F -4 2 3'
_cell_length_a 7.596
_cell_length_b 7.596
_cell_length_c 7.596
_cell_angle_alpha 90.00
_cell_angle_beta 90.00
_cell_angle_gamma 90.00
loop_
_atom_site_label
_atom_site_type_symbol
_atom_site_fract_x
_atom_site_fract_y
_atom_site_fract_z
K1 K 0.000 0.000 0.000
Be1 Be 0.000 0.000 0.500
Br1 Br 0.250 0.250 0.750

***

17.
# KLaNb3, PBEsol geometry, DFT meta-GGA SCAN
# ΔE_f = 1917 meV/atom
# spin magnetization = 0.000 μB per formula unit
# N(E_F) = 4.79 states/eV/f.u.
data_KLaNb3
_chemical_formula_sum 'K1 La1 Nb3'
_space_group_name_H-M_alt 'P m -3 m'
_space_group_IT_number 221
_space_group_name_Hall '-P 4 2 3'
_cell_length_a 5.013
_cell_length_b 5.013
_cell_length_c 5.013
_cell_angle_alpha 90.00
_cell_angle_beta 90.00
_cell_angle_gamma 90.00
loop_
_atom_site_label
_atom_site_type_symbol
_atom_site_fract_x
_atom_site_fract_y
_atom_site_fract_z
K1 K 0.000 0.000 0.000
La1 La 0.500 0.500 0.500
Nb1 Nb 0.000 0.500 0.500

***

18.
# BaLiRu5O11, PBEsol geometry, DFT meta-GGA SCAN
# spin magnetization = 2.558 μB per formula unit
# ΔE_f (raw) = -1.490 eV/atom
# N(E_F) = 8.54 states/eV/f.u.
data_BaLiRu5O11
_chemical_formula_sum 'Ba2 Li2 Ru10 O22'
_space_group_name_H-M_alt 'P 63/m m c'
_space_group_IT_number 194
_space_group_name_Hall '-P 6c 2c'
_cell_length_a 5.6999
_cell_length_b 5.6999
_cell_length_c 14.0061
_cell_angle_alpha 90.00
_cell_angle_beta 90.00
_cell_angle_gamma 120.00
loop_
_atom_site_label
_atom_site_type_symbol
_atom_site_fract_x
_atom_site_fract_y
_atom_site_fract_z
Ba1 Ba 0.3333 0.6667 0.2500
Li1 Li 0.3333 0.6667 0.7500
Ru1 Ru 0.0000 0.0000 0.1578
Ru2 Ru 0.0000 0.5000 0.0000
O1 O 0.1509 0.3018 0.7500
O2 O 0.1667 0.3334 0.0814
O3 O 0.3333 0.6667 0.5852

***

19.
# SrCr2Ni, PBEsol geometry, DFT meta-GGA SCAN
# ΔE_f = 1357 meV/atom
# energy relative to the lowest polymorph listed for this composition = 540 meV/atom
# spin magnetization = 0.001 μB per formula unit
# N(E_F) = 4.80 states/eV/f.u.
data_SrCr2Ni
_chemical_formula_sum 'Sr2 Cr4 Ni2'
_space_group_name_H-M_alt 'I 4/m m m'
_space_group_IT_number 139
_space_group_name_Hall '-I 4 2'
_cell_length_a 3.612
_cell_length_b 3.612
_cell_length_c 9.602
_cell_angle_alpha 90.00
_cell_angle_beta 90.00
_cell_angle_gamma 90.00
loop_
_atom_site_label
_atom_site_type_symbol
_atom_site_fract_x
_atom_site_fract_y
_atom_site_fract_z
Sr1 Sr 0.000 0.000 0.000
Cr1 Cr 0.000 0.500 0.250
Ni1 Ni 0.000 0.000 0.500

***

20.
# NaLa3Ta, PBEsol geometry, DFT meta-GGA SCAN
# ΔE_f = 415 meV/atom
# spin magnetization = 0.096 μB per formula unit
# N(E_F) = 5.39 states/eV/f.u.
data_NaLa3Ta
_chemical_formula_sum 'Na1 La3 Ta1'
_space_group_name_H-M_alt 'P m -3 m'
_space_group_IT_number 221
_space_group_name_Hall '-P 4 2 3'
_cell_length_a 5.691
_cell_length_b 5.691
_cell_length_c 5.691
_cell_angle_alpha 90.00
_cell_angle_beta 90.00
_cell_angle_gamma 90.00
loop_
_atom_site_label
_atom_site_type_symbol
_atom_site_fract_x
_atom_site_fract_y
_atom_site_fract_z
Na1 Na 0.000 0.000 0.000
La1 La 0.000 0.500 0.500
Ta1 Ta 0.500 0.500 0.500